KFeGe2O6 | PBE with a Hubbard U | optimized geometry

CIF file:
```
data_KFeGe2O6
_chemical_formula_sum 'K4 Fe4 Ge8 O24'
_space_group_name_H-M_alt 'C 1 2/c 1'
_space_group_IT_number 15
_space_group_name_Hall '-C 2yc'
_cell_length_a 10.402
_cell_length_b 11.337
_cell_length_c 5.756
_cell_angle_alpha 90.00
_cell_angle_beta 110.37
_cell_angle_gamma 90.00
loop_
_atom_site_label
_atom_site_fract_x
_atom_site_fract_y
_atom_site_fract_z
K1 0.000 0.104 0.250
Fe1 0.000 0.224 0.750
Ge1 0.192 0.420 0.170
O1 0.088 0.298 0.053
O2 0.131 0.111 0.726
O3 0.158 0.465 0.442
```

Results
- D(E_F) (states/eV per cell) = 0.00
- total DFT energy (no corrections) (eV/cell) = -247.64
- total magnetization (μB/cell) = 19.78